Entry 1:
SbAsC | PBE-GGA | optimized geometry

The calculation puts the energy above the most stable polymorph in this dataset at 51.9 meV/atom. The calculation puts the energy relative to the elements, uncorrected at 1.7 eV per formula unit. The calculation puts the total energy at -5.425 eV/atom. The theoretical density comes out at 4.8 g/cm3. The volume is 72 Å³/f.u.

The space group is C2/m (No. 12) and the conventional cell measures 14.4862, 3.5179 and 5.7071 Å, with angles of 90.00, 96.32 and 90.00 degrees. The inequivalent atoms are Sb at (0.0884, 0.0000, 0.2981), As at (0.2359, 0.5000, 0.8482) and C at (0.0321, 0.5000, 0.0941).

---

Entry 2:
Ti2GaHPt | PBE-GGA | optimized geometry

The calculation puts the energy above the most stable polymorph in this dataset at 39.9 meV/atom. The calculation puts the total energy at -6.175 eV/atom. The theoretical density comes out at 9.3 g/cm3. The volume is 64 Å³/f.u.

The space group is P4/mmm (No. 123) and the conventional cell measures 3.8991, 3.8991 and 4.2275 Å, with angles of 90.00, 90.00 and 90.00 degrees. The inequivalent atoms are Ti at (0.0000, 0.5000, 0.0000), Ga at (0.0000, 0.0000, 0.5000), H at (0.0000, 0.0000, 0.0000) and Pt at (0.5000, 0.5000, 0.5000).

---

Entry 3:
TcS2Cl | PBE-GGA | optimized geometry

The calculation puts the energy above the most stable polymorph in this dataset at 849.9 meV/atom. The calculation puts the energy relative to the elements, uncorrected at 2.7 eV per formula unit. The calculation puts the total energy at -4.437 eV/atom. The theoretical density comes out at 5.3 g/cm3. The volume is 62 Å³/f.u.

The space group is Fm-3m (No. 225) and the conventional cell measures 6.2779, 6.2779 and 6.2779 Å, with angles of 90.00, 90.00 and 90.00 degrees. The inequivalent atoms are Tc at (0.0000, 0.0000, 0.0000), S at (0.2500, 0.2500, 0.2500) and Cl at (0.0000, 0.0000, 0.5000).

---

Entry 4:
InHgMo | PBE-GGA | optimized geometry

The calculation puts the energy above the most stable polymorph in this dataset at 97.0 meV/atom. The calculation puts the total energy at -4.023 eV/atom. The theoretical density comes out at 11.4 g/cm3. The volume is 60 Å³/f.u. Its energy of formation from the pure elements is 1.802 eV per formula unit.

The space group is Imm2 (No. 44) and the conventional cell measures 2.9935, 3.8323 and 10.4101 Å, with angles of 90.00, 90.00 and 90.00 degrees. The inequivalent atoms are In at (0.0000, 0.0000, 0.0000), Hg at (0.0000, 0.0000, 0.3144) and Mo at (0.0000, 0.0000, 0.6531).